LiPm2Zn4Si3 | PBE | relaxed

Calculated values
magnetic moment: 0.0000 μB per atom
E_form (uncorrected): -0.424 eV/atom

a b c (Å): 4.1216 4.1216 10.5804
angles (deg): 90.00 90.00 90.00
With the nearest neighbours (Å) after each atom.
Space group P-4m2 (No. 115)
Unique sites:
Li (0.0000, 0.0000, 0.0000) x1  4 Zn 2.48
Pm (0.0000, 0.5000, 0.7456) x2  6 Si 3.11-3.39, 8 Zn 3.20-3.32, 2 Li 3.39
Zn (0.0000, 0.0000, 0.5000) x1  4 Si 2.55
Zn (0.0000, 0.5000, 0.1299) x2  3 Si 2.41-2.48, 2 Li 2.48
Zn (0.5000, 0.5000, 0.5000) x1  4 Si 2.55
Si (0.0000, 0.5000, 0.3578) x2  5 Zn 2.41-2.55
Si (0.5000, 0.5000, 0.0000) x1  4 Zn 2.48